Entry 1:
Density functional theory data (PBE) for a relaxed NbHgTe2 crystal.

Calculated values
**Space group**: F-43m, No. 216
**Total DFT energy (no corrections)**: -14.403 eV per cell

Cell and atoms, written as POSCAR:
```
NbHgTe2
1.0
0.000 3.627 3.627
3.627 0.000 3.627
3.627 3.627 0.000
Nb Hg Te
1 1 2
Direct
0.000 0.000 0.000
0.250 0.250 0.250
0.500 0.500 0.500
0.750 0.750 0.750
```

***

Entry 2:
Density functional theory data (PBE) for a relaxed SrCdSO crystal.

Calculated values
**Space group**: Pnma, No. 62
**Total DFT energy (no corrections)**: -73.370 eV per cell

Cell and atoms, written as POSCAR:
```
SrCdSO
1.0
6.116 0.000 0.000
0.000 4.034 0.000
0.000 0.000 14.398
Sr Cd S O
4 4 4 4
Direct
0.249 0.250 0.090
0.251 0.750 0.590
0.749 0.250 0.410
0.751 0.750 0.910
0.177 0.750 0.318
0.323 0.250 0.818
0.677 0.750 0.182
0.823 0.250 0.682
0.243 0.750 0.924
0.257 0.250 0.424
0.743 0.750 0.576
0.757 0.250 0.076
0.192 0.250 0.679
0.308 0.750 0.179
0.692 0.250 0.821
0.808 0.750 0.321
```